[1]
Computed, not measured: a crystal of TlSb2Rh2 relaxed with PBEsol at the meta-GGA SCAN level of DFT.

Cell: 7.499 7.499 7.499 Å, 148.36 148.36 45.36°
Positions (direct):
Tl (0.000, 0.000, 0.000)
Sb (0.363, 0.363, 0.000)
Sb (0.637, 0.637, 0.000)
Rh (0.250, 0.750, 0.500)
Rh (0.750, 0.250, 0.500)

calculated total energy = -1.58748 hartree per atom
energy relative to the elements, uncorrected = -0.313 eV/atom
density = 9.39 g/cm³
symmetry = I4/mmm, No. 139

---

[2]
Computed, not measured: a crystal of RbSe2N relaxed with PBEsol at the meta-GGA SCAN level of DFT.

Cell: 6.840 6.840 6.840 Å, 49.16 49.16 49.16°
Positions (direct):
Rb (0.000, 0.000, 0.000)
Se (0.403, 0.403, 0.403)
Se (0.597, 0.597, 0.597)
N (0.500, 0.500, 0.500)

calculated total energy = -0.63819 hartree per atom
energy relative to the elements, uncorrected = 0.181 eV/atom
density = 2.54 g/cm³
symmetry = R-3m, No. 166

---

[3]
Computed, not measured: a crystal of CdCo2O relaxed with PBEsol at the meta-GGA SCAN level of DFT.

Cell: 4.112 4.112 4.112 Å, 60.00 60.00 60.00°
Positions (direct):
Cd (0.000, 0.000, 0.000)
Co (0.250, 0.250, 0.250)
Co (0.750, 0.750, 0.750)
O (0.500, 0.500, 0.500)

calculated total energy = -0.63020 hartree per atom
energy relative to the elements, uncorrected = 0.665 eV/atom
density = 8.32 g/cm³
symmetry = Fm-3m, No. 225

---

[4]
Computed, not measured: a crystal of In2Hg relaxed with PBEsol at the meta-GGA SCAN level of DFT.

Cell: 5.240 5.240 6.230 Å, 90.00 90.00 120.00°
Positions (direct):
In (0.000, 0.000, 0.000)
In (0.000, 0.000, 0.500)
In (0.333, 0.667, 0.250)
In (0.667, 0.333, 0.750)
Hg (0.333, 0.667, 0.750)
Hg (0.667, 0.333, 0.250)

calculated total energy = -1.65102 hartree per atom
density = 9.65 g/cm³
symmetry = P6_3/mmc, No. 194

---

[5]
Computed, not measured: a crystal of Tl2Cr2Pt relaxed with PBEsol at the meta-GGA SCAN level of DFT.

Cell: 6.547 6.547 6.547 Å, 144.61 144.61 50.92°
Positions (direct):
Tl (0.250, 0.750, 0.500)
Tl (0.750, 0.250, 0.500)
Cr (0.075, 0.075, 0.000)
Cr (0.925, 0.925, 0.000)
Pt (0.500, 0.500, 0.000)

calculated total energy = -1.81403 hartree per atom
density = 12.55 g/cm³
symmetry = I4/mmm, No. 139

---

[6]
Computed, not measured: a crystal of RbSrZn3 relaxed with PBEsol at the meta-GGA SCAN level of DFT.

Cell: 5.958 5.958 5.958 Å, 90.00 90.00 90.00°
Positions (direct):
Rb (0.000, 0.000, 0.000)
Sr (0.500, 0.500, 0.500)
Zn (0.000, 0.500, 0.500)
Zn (0.500, 0.000, 0.500)
Zn (0.500, 0.500, 0.000)

calculated total energy = -0.59521 hartree per atom
density = 2.90 g/cm³
symmetry = Pm-3m, No. 221

---

[7]
Computed, not measured: a crystal of CaBr2F relaxed with PBEsol at the meta-GGA SCAN level of DFT.

Cell: 4.906 4.906 4.906 Å, 60.00 60.00 60.00°
Positions (direct):
Ca (0.000, 0.000, 0.000)
Br (0.250, 0.250, 0.250)
Br (0.750, 0.750, 0.750)
F (0.500, 0.500, 0.500)

calculated total energy = -0.53765 hartree per atom
energy relative to the elements, uncorrected = -1.600 eV/atom
density = 4.35 g/cm³
symmetry = Fm-3m, No. 225

---

[8]
Computed, not measured: a crystal of TaRuRh2 relaxed with PBEsol at the meta-GGA SCAN level of DFT.

Cell: 9.062 9.062 9.062 Å, 17.37 17.37 17.37°
Positions (direct):
Ta (0.000, 0.000, 0.000)
Ru (0.246, 0.246, 0.246)
Rh (0.500, 0.500, 0.500)
Rh (0.750, 0.750, 0.750)

calculated total energy = -1.55352 hartree per atom
density = 13.99 g/cm³
symmetry = R3m, No. 160

---

[9]
Computed, not measured: a crystal of ZrCrIrF2 relaxed with PBEsol at the meta-GGA SCAN level of DFT.

Cell: 3.894 3.894 5.720 Å, 90.00 90.00 90.00°
Positions (direct):
Zr (0.000, 0.000, 0.000)
Cr (0.000, 0.000, 0.500)
Ir (0.500, 0.500, 0.500)
F (0.000, 0.500, 0.000)
F (0.500, 0.000, 0.000)

calculated total energy = -0.97231 hartree per atom
energy relative to the elements, uncorrected = -1.005 eV/atom
density = 7.15 g/cm³
symmetry = P4/mmm, No. 123

---

[10]
Computed, not measured: a crystal of Eu2AgPb relaxed with PBEsol at the meta-GGA SCAN level of DFT.

Cell: 5.397 5.397 5.397 Å, 60.00 60.00 60.00°
Positions (direct):
Eu (0.250, 0.250, 0.250)
Eu (0.750, 0.750, 0.750)
Ag (0.000, 0.000, 0.000)
Pb (0.500, 0.500, 0.500)

calculated total energy = -1.99238 hartree per atom
density = 9.25 g/cm³
symmetry = Fm-3m, No. 225

---

[11]
Computed, not measured: a crystal of RbGa2Sb2 relaxed with PBEsol at the meta-GGA SCAN level of DFT.

Cell: 8.104 8.104 8.104 Å, 147.25 147.25 46.99°
Positions (direct):
Rb (0.000, 0.000, 0.000)
Ga (0.250, 0.750, 0.500)
Ga (0.750, 0.250, 0.500)
Sb (0.356, 0.356, 0.000)
Sb (0.644, 0.644, 0.000)

calculated total energy = -0.95144 hartree per atom
energy relative to the elements, uncorrected = -0.299 eV/atom
density = 5.01 g/cm³
symmetry = I4/mmm, No. 139

---

[12]
Computed, not measured: a crystal of RuBrF2 relaxed with PBEsol at the meta-GGA SCAN level of DFT.

Cell: 4.239 4.239 4.239 Å, 60.00 60.00 60.00°
Positions (direct):
Ru (0.000, 0.000, 0.000)
Br (0.500, 0.500, 0.500)
F (0.250, 0.250, 0.250)
F (0.750, 0.750, 0.750)

calculated total energy = -0.57060 hartree per atom
energy relative to the elements, uncorrected = -0.185 eV/atom
density = 6.75 g/cm³
symmetry = Fm-3m, No. 225

---

Q: Among the records above, which one has the highest density?
A: TaRuRh2

---

Q: What is the calculated total energy in the ninth record?
A: -0.97231 hartree per atom